Here is a relaxed structure of SmDyHgIr from Alexandria. Energies are from PBE-GGA.

Computed properties:
DOS at the Fermi energy = 0.63 states/eV per atom
Calculated total energy = -5.200 eV per atom
Total magnetic moment = 0.00 μB per formula unit
Energy of formation = -0.58 eV per atom

abc: 5.090 5.090 5.090
angles: 60.00 60.00 60.00
Sites, in units of the cell vectors:
Sm 0.000 0.000 0.000
Dy 0.500 0.500 0.500
Hg 0.750 0.750 0.750
Ir 0.250 0.250 0.250